[1]
Material: ScCu2Ir
Method: DFT, PBE-GGA
State: optimized geometry

Results
DFT total energy = -24.15 eV per cell
energy above the lowest structure with this stoichiometry = 5.05 kcal/mol of atoms

Structure (extended XYZ):
```
4
Lattice="3.332 0.000 0.000 0.000 3.332 0.000 0.000 0.000 5.331" Properties=species:S:1:pos:R:3 pbc="T T T"
Sc 0.000 0.000 0.000
Cu 1.666 1.666 1.386
Cu 1.666 1.666 3.944
Ir 0.000 0.000 2.665
```

=====

[2]
Material: SrCa2HoTe4
Method: DFT, PBE-GGA
State: optimized geometry

Results
DFT total energy = -35.19 eV per cell

Structure (extended XYZ):
```
8
Lattice="7.810 0.000 0.000 0.000 4.498 0.000 -2.590 0.000 7.414" Properties=species:S:1:pos:R:3 pbc="T T T"
Sr 0.000 0.000 0.000
Ca 2.610 0.000 3.707
Ca 3.905 2.249 0.000
Ho -1.295 2.249 3.707
Te 0.018 0.000 5.476
Te 1.307 2.249 1.952
Te 3.913 2.249 5.462
Te 5.202 0.000 1.938
```

=====

[3]
Material: Er2Ni3Ge4Au
Method: DFT, PBE-GGA
State: optimized geometry

Results
DFT total energy = -54.39 eV per cell

Structure (extended XYZ):
```
10
Lattice="4.129 0.000 0.000 0.000 4.129 0.000 0.000 0.000 9.861" Properties=species:S:1:pos:R:3 pbc="T T T"
Er 0.000 2.064 2.394
Er 2.064 0.000 7.467
Ni 0.000 2.064 8.694
Ni 2.064 0.000 1.167
Ni 2.064 2.064 4.931
Ge 0.000 0.000 0.000
Ge 0.000 2.064 6.400
Ge 2.064 0.000 3.461
Ge 2.064 2.064 0.000
Au 0.000 0.000 4.931
```

=====

[4]
Material: KMg5Tl3
Method: DFT, PBE-GGA
State: optimized geometry

Results
DFT total energy = -32.87 eV per cell

Structure (extended XYZ):
```
18
Lattice="2.158 -7.785 0.000 2.158 7.785 0.000 0.000 0.000 15.308" Properties=species:S:1:pos:R:3 pbc="T T T"
K 2.158 5.452 11.481
K 2.158 -5.452 3.827
Mg 0.000 0.000 0.000
Mg 0.000 0.000 7.654
Mg 2.158 4.776 0.919
Mg 2.158 4.776 6.736
Mg 2.158 0.904 9.853
Mg 2.158 0.904 13.109
Mg 2.158 -0.904 2.199
Mg 2.158 -0.904 5.455
Mg 2.158 -4.776 8.573
Mg 2.158 -4.776 14.390
Tl 2.158 5.439 3.827
Tl 2.158 1.825 0.978
Tl 2.158 1.825 6.677
Tl 2.158 -1.825 8.632
Tl 2.158 -1.825 14.331
Tl 2.158 -5.439 11.481
```

=====

[5]
Material: TiInBr2
Method: DFT, PBE-GGA
State: optimized geometry

Results
DFT total energy = -14.34 eV per cell
energy above the lowest structure with this stoichiometry = 12.79 kcal/mol of atoms

Structure (extended XYZ):
```
4
Lattice="0.000 3.700 3.700 3.700 0.000 3.700 3.700 3.700 0.000" Properties=species:S:1:pos:R:3 pbc="T T T"
Ti 0.000 0.000 0.000
In 3.700 3.700 3.700
Br 1.850 1.850 1.850
Br 5.550 5.550 5.550
```

=====

[6]
Material: NaCa5Cd
Method: DFT, PBE-GGA
State: optimized geometry

Results
DFT total energy = -23.98 eV per cell

Structure (extended XYZ):
```
14
Lattice="6.780 -3.473 0.000 6.780 3.473 0.000 -3.149 0.000 11.645" Properties=species:S:1:pos:R:3 pbc="T T T"
Na 4.419 2.152 8.734
Na 5.993 -2.152 2.911
Ca 0.147 0.781 6.158
Ca 1.188 0.865 9.792
Ca 1.721 -0.781 0.335
Ca 5.993 1.301 2.911
Ca 2.763 -0.865 3.969
Ca 7.650 0.865 7.676
Ca 4.419 -1.301 8.734
Ca 8.691 0.781 11.310
Ca 9.224 -0.865 1.854
Ca 10.266 -0.781 5.488
Cd 6.780 0.000 0.000
Cd 5.206 0.000 5.823
```

=====

| no. | total magnetic moment (μB/atom) |
| --- | --- |
| 1 | 0.0000 |
| 2 | 0.0000 |
| 3 | 0.0000 |
| 4 | 0.0000 |
| 5 | 0.6987 |
| 6 | 0.0000 |